# Ti2Al2Pt3

An optimized crystal structure of Ti2Al2Pt3 (PBE-GGA, Alexandria).

```
Ti2Al2Pt3
1.0
2.1456 1.2388 7.4053
-2.1456 1.2388 7.4053
0.0000 -2.4775 7.4053
Ti Al Pt
2 2 3
Cartesian
0.0000 0.0000 2.7779 Ti
0.0000 0.0000 19.4380 Ti
0.0000 0.0000 8.3676 Al
0.0000 0.0000 13.8484 Al
0.0000 0.0000 0.0000 Pt
0.0000 0.0000 5.3426 Pt
0.0000 0.0000 16.8733 Pt
```

symmetry	R-3m
formation energy	-0.844	eV per atom
Fermi-level density of states	3.4	states/eV/cell



# Ti3AlPt

An optimized crystal structure of Ti3AlPt (PBE-GGA, Alexandria).

```
Ti3AlPt
1.0
2.2909 -6.3858 0.0000
2.2909 6.3858 0.0000
0.0000 0.0000 5.6294
Ti Al Pt
6 2 2
Cartesian
2.2909 5.0925 4.2220 Ti
2.2909 2.4854 5.6269 Ti
2.2909 2.4854 2.8172 Ti
2.2909 -2.4854 0.0025 Ti
2.2909 -2.4854 2.8122 Ti
2.2909 -5.0925 1.4073 Ti
2.2909 4.8560 1.4073 Al
2.2909 -4.8560 4.2220 Al
2.2909 0.1198 4.2220 Pt
2.2909 -0.1198 1.4073 Pt
```

symmetry	Cmcm
formation energy	-0.481	eV per atom
Fermi-level density of states	9.5	states/eV/cell
energy above the lowest structure with this stoichiometry	0	meV per atom



# TiAlPt2

An optimized crystal structure of TiAlPt2 (PBE-GGA, Alexandria).

```
TiAlPt2
1.0
8.5102 0.0000 0.0000
0.0000 6.9175 0.0000
-0.3943 0.0000 4.1481
Ti Al Pt
4 4 8
Cartesian
0.8519 0.0000 0.9962 Ti
3.0089 3.4588 3.1519 Ti
5.1070 3.4588 0.9962 Ti
7.2640 0.0000 3.1519 Ti
1.1056 3.4588 1.0400 Al
2.7552 0.0000 3.1080 Al
5.3607 0.0000 1.0400 Al
7.0103 3.4588 3.1080 Al
0.7416 1.8968 3.1148 Pt
0.7416 5.0207 3.1148 Pt
3.1192 1.5619 1.0332 Pt
3.1192 5.3556 1.0332 Pt
4.9967 1.5619 3.1148 Pt
4.9967 5.3556 3.1148 Pt
7.3743 1.8968 1.0332 Pt
7.3743 5.0207 1.0332 Pt
```

symmetry	C2/m
formation energy	-0.953	eV per atom
Fermi-level density of states	6.6	states/eV/cell



# TiAlPt

An optimized crystal structure of TiAlPt (PBE-GGA, Alexandria).

```
TiAlPt
1.0
4.3537 0.0000 0.0000
-2.1768 3.7704 0.0000
0.0000 0.0000 11.5123
Ti Al Pt
4 4 4
Cartesian
0.0000 0.0000 0.0000 Ti
0.0000 0.0000 2.8781 Ti
0.0000 0.0000 5.7562 Ti
0.0000 0.0000 8.6342 Ti
0.0000 2.5136 1.2199 Al
0.0000 2.5136 4.5363 Al
2.1768 1.2568 6.9760 Al
2.1768 1.2568 10.2925 Al
0.0000 2.5136 7.2300 Pt
0.0000 2.5136 10.0385 Pt
2.1768 1.2568 1.4738 Pt
2.1768 1.2568 4.2824 Pt
```

symmetry	P6_3/mmc
formation energy	-0.889	eV per atom
Fermi-level density of states	11.1	states/eV/cell



# Ti3AlPt

An optimized crystal structure of Ti3AlPt (PBE-GGA, Alexandria).

```
Ti3AlPt
1.0
4.7804 0.0000 0.0000
0.0000 4.7804 0.0000
0.0000 0.0000 4.7804
Ti Al Pt
3 1 1
Cartesian
0.0000 0.0000 2.3902 Ti
0.0000 2.3902 0.0000 Ti
2.3902 0.0000 0.0000 Ti
2.3902 2.3902 2.3902 Al
0.0000 0.0000 0.0000 Pt
```

symmetry	Pm-3m
formation energy	0.284	eV per atom
Fermi-level density of states	5.6	states/eV/cell
energy above the lowest structure with this stoichiometry	765	meV per atom



# TiAlPt5

An optimized crystal structure of TiAlPt5 (PBE-GGA, Alexandria).

```
TiAlPt5
1.0
3.9642 0.0000 0.0000
0.0000 3.9642 0.0000
0.0000 0.0000 7.0830
Ti Al Pt
1 1 5
Cartesian
0.0000 0.0000 0.0000 Ti
1.9821 1.9821 3.5415 Al
0.0000 1.9821 1.9543 Pt
0.0000 1.9821 5.1287 Pt
1.9821 0.0000 1.9543 Pt
1.9821 0.0000 5.1287 Pt
1.9821 1.9821 0.0000 Pt
```

symmetry	P4/mmm
formation energy	-0.845	eV per atom
Fermi-level density of states	3.0	states/eV/cell



# TiAlPt2

An optimized crystal structure of TiAlPt2 (PBE-GGA, Alexandria).

```
TiAlPt2
1.0
5.5802 0.0000 0.0000
0.0000 5.5802 0.0000
0.0000 0.0000 11.4769
Ti Al Pt
4 4 8
Cartesian
0.0000 0.0000 0.0000 Ti
0.0000 2.7901 2.8692 Ti
2.7901 0.0000 8.6077 Ti
2.7901 2.7901 5.7384 Ti
0.0000 0.0000 5.7384 Al
0.0000 2.7901 8.6077 Al
2.7901 0.0000 2.8692 Al
2.7901 2.7901 0.0000 Al
1.3579 1.3950 7.1731 Pt
1.3950 4.1479 10.0423 Pt
1.3950 4.2223 4.3038 Pt
1.4322 1.3950 1.4346 Pt
4.1479 4.1851 1.4346 Pt
4.1851 1.3579 4.3038 Pt
4.1851 1.4322 10.0423 Pt
4.2223 4.1851 7.1731 Pt
```

symmetry	I-42d
formation energy	-0.284	eV per atom
Fermi-level density of states	11.3	states/eV/cell



# Ti2AlPt9

An optimized crystal structure of Ti2AlPt9 (PBE-GGA, Alexandria).

```
Ti2AlPt9
1.0
3.9407 0.0000 0.0000
0.0000 3.9407 0.0000
0.0000 0.0000 11.7903
Ti Al Pt
2 1 9
Cartesian
0.0000 0.0000 2.0045 Ti
0.0000 0.0000 9.7858 Ti
0.0000 0.0000 5.8952 Al
0.0000 1.9704 0.0000 Pt
0.0000 1.9704 3.9109 Pt
0.0000 1.9704 7.8794 Pt
1.9704 0.0000 0.0000 Pt
1.9704 0.0000 3.9109 Pt
1.9704 0.0000 7.8794 Pt
1.9704 1.9704 1.9602 Pt
1.9704 1.9704 5.8952 Pt
1.9704 1.9704 9.8302 Pt
```

symmetry	P4/mmm
formation energy	-0.841	eV per atom
Fermi-level density of states	6.5	states/eV/cell



# Ti4AlPt5

An optimized crystal structure of Ti4AlPt5 (PBE-GGA, Alexandria).

```
Ti4AlPt5
1.0
3.3628 0.0000 0.0000
0.0000 3.3628 0.0000
0.0000 0.0000 13.9154
Ti Al Pt
4 1 5
Cartesian
0.0000 0.0000 1.3652 Ti
0.0000 0.0000 4.1485 Ti
0.0000 0.0000 9.7670 Ti
0.0000 0.0000 12.5502 Ti
0.0000 0.0000 6.9577 Al
1.6814 1.6814 0.0000 Pt
1.6814 1.6814 2.7890 Pt
1.6814 1.6814 5.5721 Pt
1.6814 1.6814 8.3433 Pt
1.6814 1.6814 11.1265 Pt
```

symmetry	P4/mmm
formation energy	-0.872	eV per atom
Fermi-level density of states	9.5	states/eV/cell



# Ti6Al12Pt

An optimized crystal structure of Ti6Al12Pt (PBE-GGA, Alexandria).

```
Ti6Al12Pt
1.0
5.0176 2.8969 3.5894
-5.0176 2.8969 3.5894
0.0000 -5.7939 3.5894
Ti Al Pt
6 12 1
Cartesian
-2.8339 0.6702 4.8274 Ti
-1.9974 -2.1191 5.9409 Ti
0.8365 -2.7893 4.8274 Ti
-0.8365 2.7893 5.9409 Ti
1.9974 2.1191 4.8274 Ti
2.8339 -0.6702 5.9409 Ti
-4.5724 -1.2630 6.0924 Al
-1.1924 -4.5913 4.6759 Al
-1.2356 -1.1908 3.4818 Al
-3.3800 3.3283 4.6759 Al
-0.4135 1.6654 3.4818 Al
1.6490 -0.4746 3.4818 Al
-1.6490 0.4746 7.2865 Al
0.4135 -1.6654 7.2865 Al
3.3800 -3.3283 6.0924 Al
1.2356 1.1908 7.2865 Al
1.1924 4.5913 6.0924 Al
4.5724 1.2630 4.6759 Al
0.0000 0.0000 5.3841 Pt
```

symmetry	R-3
formation energy	-0.345	eV per atom
Fermi-level density of states	12.9	states/eV/cell



# Ti2AlPt6

An optimized crystal structure of Ti2AlPt6 (PBE-GGA, Alexandria).

```
Ti2AlPt6
1.0
6.3445 -3.2843 0.0000
6.3445 3.2843 0.0000
-1.2278 0.0000 3.7618
Ti Al Pt
2 1 6
Cartesian
1.8347 0.0000 0.6026 Ti
9.6265 0.0000 3.1592 Ti
5.7306 0.0000 1.8809 Al
3.8246 1.5819 1.2551 Pt
6.3445 1.5648 0.0000 Pt
7.6365 1.5819 2.5068 Pt
3.8246 -1.5819 1.2551 Pt
6.3445 -1.5648 0.0000 Pt
7.6365 -1.5819 2.5068 Pt
```

symmetry	C2/m
formation energy	-0.749	eV per atom
Fermi-level density of states	2.7	states/eV/cell



# Ti6AlPt

An optimized crystal structure of Ti6AlPt (PBE-GGA, Alexandria).

```
Ti6AlPt
1.0
5.4786 0.0000 0.0000
0.0000 9.1593 0.0000
-0.8118 0.0000 5.2138
Ti Al Pt
12 2 2
Cartesian
0.5298 2.1689 1.2533 Ti
0.5298 6.9905 1.2533 Ti
0.5618 0.0000 5.0508 Ti
1.3657 4.5797 0.1630 Ti
1.3977 2.4108 3.9605 Ti
1.3977 6.7485 3.9605 Ti
3.2691 2.4108 1.2533 Ti
3.2691 6.7485 1.2533 Ti
3.3011 4.5797 5.0508 Ti
4.1050 0.0000 0.1630 Ti
4.1370 2.1689 3.9605 Ti
4.1370 6.9905 3.9605 Ti
-0.4059 4.5797 2.6069 Al
2.3334 0.0000 2.6069 Al
-0.4059 0.0000 2.6069 Pt
2.3334 4.5797 2.6069 Pt
```

symmetry	C2/m
formation energy	-0.348	eV per atom
Fermi-level density of states	20.8	states/eV/cell
energy above the lowest structure with this stoichiometry	8	meV per atom



no.,total magnetization (μB per formula unit)
1,0.0
2,0.0
3,0.5
4,0.4
5,0.0
6,0.0
7,0.0
8,0.0
9,0.0
10,0.0
11,0.0
12,0.0